P.
SiAgPO: optimized geometry, PBE.

Unit cell a=4.232 b=4.232 c=7.764 alpha=90.00 beta=90.00 gamma=90.00
Sites, in units of the cell vectors:
Si: 0.250 0.750 0.000
Si: 0.750 0.250 0.000
Ag: 0.250 0.250 0.444
Ag: 0.750 0.750 0.556
P: 0.250 0.250 0.861
P: 0.750 0.750 0.139
O: 0.250 0.750 0.500
O: 0.750 0.250 0.500

- space-group type = P4/nmm
- volume (Å³ per cell) = 139

***

Q.
SiAgPO: optimized geometry, PBE.

Unit cell a=2.788 b=7.757 c=5.873 alpha=90.00 beta=90.00 gamma=90.00
Sites, in units of the cell vectors:
Si: 0.000 0.116 0.000
Si: 0.000 0.884 0.500
Ag: 0.500 0.442 0.468
Ag: 0.500 0.558 0.968
P: 0.000 0.158 0.376
P: 0.000 0.842 0.876
O: 0.500 0.207 0.896
O: 0.500 0.793 0.396

- space-group type = Pmc2_1
- volume (Å³ per cell) = 127

***

Most stable: Q (next structure +82.4 kJ/mol of atoms)